Entry 1:
Compound: CsMg2Pb2
Source: Alexandria
Functional: GGA-PBE
Structure: optimized geometry

Results
Calculated formation energy (eV per formula unit): -0.20
Excess energy over the best structure of this formula in the dataset (eV per atom): 0.072

CIF file:
```
data_CsMg2Pb2
_space_group_name_H-M_alt 'I m m a'
_space_group_IT_number 74
_space_group_name_Hall '-I 2b 2'
_cell_length_a 5.122
_cell_length_b 5.137
_cell_length_c 27.125
_cell_angle_alpha 90.00
_cell_angle_beta 90.00
_cell_angle_gamma 90.00
loop_
_atom_site_label
_atom_site_fract_x
_atom_site_fract_y
_atom_site_fract_z
Cs1 0.000 0.250 0.093
Mg1 0.000 0.250 0.288
Mg2 0.000 0.250 0.785
Pb1 0.000 0.250 0.531
Pb2 0.000 0.250 0.656
```


Entry 2:
Compound: ErU6S8
Source: Alexandria
Functional: GGA-PBE
Structure: optimized geometry

Results
Energy relative to the elements, uncorrected (eV per formula unit): -22.01
Excess energy over the best structure of this formula in the dataset (eV per atom): 0.000

CIF file:
```
data_ErU6S8
_space_group_name_H-M_alt 'F m -3 m'
_space_group_IT_number 225
_space_group_name_Hall '-F 4 2 3'
_cell_length_a 10.901
_cell_length_b 10.901
_cell_length_c 10.901
_cell_angle_alpha 90.00
_cell_angle_beta 90.00
_cell_angle_gamma 90.00
loop_
_atom_site_label
_atom_site_fract_x
_atom_site_fract_y
_atom_site_fract_z
Er1 0.000 0.000 0.000
U1 0.000 0.250 0.250
S1 0.000 0.000 0.252
S2 0.250 0.250 0.250
```


Entry 3:
Compound: Rb3ScAg2I8
Source: Alexandria
Functional: GGA-PBE
Structure: optimized geometry

Results
Energy relative to the elements, uncorrected (eV per formula unit): -14.00

CIF file:
```
data_Rb3ScAg2I8
_space_group_name_H-M_alt 'P -3 m 1'
_space_group_IT_number 164
_space_group_name_Hall '-P 3 2"'
_cell_length_a 8.3598
_cell_length_b 8.3598
_cell_length_c 10.6335
_cell_angle_alpha 90.00
_cell_angle_beta 90.00
_cell_angle_gamma 120.00
loop_
_atom_site_label
_atom_site_fract_x
_atom_site_fract_y
_atom_site_fract_z
Rb1 0.0000 0.0000 0.0000
Rb2 0.3333 0.6667 0.6118
Sc1 0.0000 0.0000 0.5000
Ag1 0.3333 0.6667 0.1938
I1 0.1601 0.3202 0.3358
I2 0.3333 0.6667 0.9418
```


Entry 4:
Compound: Ba2AcAs2I2
Source: Alexandria
Functional: GGA-PBE
Structure: optimized geometry

Results
Energy relative to the elements, uncorrected (eV per formula unit): -8.99

CIF file:
```
data_Ba2AcAs2I2
_space_group_name_H-M_alt 'I 4/m m m'
_space_group_IT_number 139
_space_group_name_Hall '-I 4 2'
_cell_length_a 5.869
_cell_length_b 5.869
_cell_length_c 17.812
_cell_angle_alpha 90.00
_cell_angle_beta 90.00
_cell_angle_gamma 90.00
loop_
_atom_site_label
_atom_site_fract_x
_atom_site_fract_y
_atom_site_fract_z
Ba1 0.000 0.000 0.113
Ac1 0.000 0.000 0.500
As1 0.000 0.500 0.000
I1 0.000 0.000 0.310
```


| no. | total energy (eV/atom) | M_tot (μB/cell) |
| --- | --- | --- |
| 1 | -2.33 | 0.00 |
| 2 | -8.49 | 53.32 |
| 3 | -2.95 | 0.00 |
| 4 | -4.19 | 0.00 |